V2AsS2 after structural relaxation, computed with PBE-GGA.

CIF file:
```
data_V2AsS2
_cell_length_a 4.423
_cell_length_b 6.300
_cell_length_c 12.064
_cell_angle_alpha 90.00
_cell_angle_beta 90.00
_cell_angle_gamma 90.00
_symmetry_space_group_name_H-M 'P 1'
_symmetry_Int_Tables_number 1
loop_
_symmetry_equiv_pos_as_xyz
'x,y,z'
loop_
_atom_site_label
_atom_site_fract_x
_atom_site_fract_y
_atom_site_fract_z
_atom_site_occupancy
As1 0.750 0.388 0.588 1
V1 0.750 0.106 0.748 1
S1 0.250 0.061 0.702 1
V2 0.750 0.308 0.383 1
S2 0.750 0.439 0.202 1
S3 0.750 0.939 0.298 1
S4 0.250 0.148 0.401 1
As2 0.250 0.112 0.088 1
As3 0.250 0.612 0.412 1
As4 0.750 0.888 0.912 1
V3 0.250 0.692 0.617 1
V4 0.250 0.394 0.248 1
V5 0.750 0.808 0.117 1
S5 0.750 0.852 0.599 1
S6 0.250 0.561 0.798 1
V6 0.250 0.894 0.252 1
V7 0.750 0.606 0.752 1
S7 0.250 0.648 0.099 1
V8 0.250 0.192 0.883 1
S8 0.750 0.352 0.901 1
```

ΔE_f (raw): -0.54 eV per atom
Fermi-level density of states: 0.775 states/eV per atom

VAsS after structural relaxation, computed with PBE-GGA.

CIF file:
```
data_VAsS
_cell_length_a 3.054
_cell_length_b 3.054
_cell_length_c 7.237
_cell_angle_alpha 90.00
_cell_angle_beta 90.00
_cell_angle_gamma 120.00
_symmetry_space_group_name_H-M 'P 1'
_symmetry_Int_Tables_number 1
loop_
_symmetry_equiv_pos_as_xyz
'x,y,z'
loop_
_atom_site_label
_atom_site_fract_x
_atom_site_fract_y
_atom_site_fract_z
_atom_site_occupancy
V1 0.667 0.333 0.354 1
S1 0.333 0.667 0.559 1
As1 0.000 0.000 0.088 1
```

ΔE_f (raw): -0.52 eV per atom
Fermi-level density of states: 0.566 states/eV per atom

VAsS after structural relaxation, computed with PBE-GGA.

CIF file:
```
data_VAsS
_cell_length_a 2.911
_cell_length_b 2.926
_cell_length_c 6.742
_cell_angle_alpha 96.60
_cell_angle_beta 102.47
_cell_angle_gamma 90.00
_symmetry_space_group_name_H-M 'P 1'
_symmetry_Int_Tables_number 1
loop_
_symmetry_equiv_pos_as_xyz
'x,y,z'
loop_
_atom_site_label
_atom_site_fract_x
_atom_site_fract_y
_atom_site_fract_z
_atom_site_occupancy
S1 0.722 0.686 0.443 1
As1 0.966 0.086 0.933 1
V1 0.312 0.228 0.624 1
```

ΔE_f (raw): -0.43 eV per atom
Fermi-level density of states: 0.559 states/eV per atom

VAsS4 after structural relaxation, computed with PBE-GGA.

CIF file:
```
data_VAsS4
_cell_length_a 6.181
_cell_length_b 6.181
_cell_length_c 6.810
_cell_angle_alpha 90.10
_cell_angle_beta 90.10
_cell_angle_gamma 65.32
_symmetry_space_group_name_H-M 'P 1'
_symmetry_Int_Tables_number 1
loop_
_symmetry_equiv_pos_as_xyz
'x,y,z'
loop_
_atom_site_label
_atom_site_fract_x
_atom_site_fract_y
_atom_site_fract_z
_atom_site_occupancy
S1 0.768 0.770 0.248 1
S2 0.239 0.708 0.000 1
S3 0.230 0.232 0.252 1
As1 0.000 0.000 0.250 1
S4 0.761 0.292 0.000 1
S5 0.232 0.230 0.752 1
S6 0.708 0.239 0.500 1
V1 0.000 0.500 0.000 1
S7 0.292 0.761 0.500 1
S8 0.770 0.768 0.748 1
As2 0.000 0.000 0.750 1
V2 0.500 0.000 0.500 1
```

ΔE_f (raw): -0.32 eV per atom
Fermi-level density of states: 0.477 states/eV per atom

AsWS3 after structural relaxation, computed with PBE-GGA.

CIF file:
```
data_AsWS3
_cell_length_a 4.639
_cell_length_b 4.639
_cell_length_c 4.639
_cell_angle_alpha 90.00
_cell_angle_beta 90.00
_cell_angle_gamma 90.00
_symmetry_space_group_name_H-M 'P 1'
_symmetry_Int_Tables_number 1
loop_
_symmetry_equiv_pos_as_xyz
'x,y,z'
loop_
_atom_site_label
_atom_site_fract_x
_atom_site_fract_y
_atom_site_fract_z
_atom_site_occupancy
S1 0.000 0.500 0.000 1
S2 0.500 0.000 0.000 1
W1 0.500 0.500 0.500 1
S3 0.000 0.000 0.500 1
As1 0.000 0.000 0.000 1
```

ΔE_f (raw): 1.26 eV per atom
Fermi-level density of states: 0.630 states/eV per atom

As3WS after structural relaxation, computed with PBE-GGA.

CIF file:
```
data_As3WS
_cell_length_a 4.854
_cell_length_b 4.854
_cell_length_c 4.854
_cell_angle_alpha 90.00
_cell_angle_beta 90.00
_cell_angle_gamma 90.00
_symmetry_space_group_name_H-M 'P 1'
_symmetry_Int_Tables_number 1
loop_
_symmetry_equiv_pos_as_xyz
'x,y,z'
loop_
_atom_site_label
_atom_site_fract_x
_atom_site_fract_y
_atom_site_fract_z
_atom_site_occupancy
As1 0.000 0.000 0.500 1
S1 0.500 0.500 0.500 1
As2 0.000 0.500 0.000 1
W1 0.000 0.000 0.000 1
As3 0.500 0.000 0.000 1
```

ΔE_f (raw): 0.62 eV per atom
Fermi-level density of states: 0.622 states/eV per atom

AsWS2 after structural relaxation, computed with PBE-GGA.

CIF file:
```
data_AsWS2
_cell_length_a 8.612
_cell_length_b 8.612
_cell_length_c 8.612
_cell_angle_alpha 21.36
_cell_angle_beta 21.36
_cell_angle_gamma 21.36
_symmetry_space_group_name_H-M 'P 1'
_symmetry_Int_Tables_number 1
loop_
_symmetry_equiv_pos_as_xyz
'x,y,z'
loop_
_atom_site_label
_atom_site_fract_x
_atom_site_fract_y
_atom_site_fract_z
_atom_site_occupancy
S1 0.104 0.104 0.104 1
S2 0.896 0.896 0.896 1
W1 0.500 0.500 0.500 1
As1 0.000 0.000 0.000 1
```

ΔE_f (raw): -0.15 eV per atom
Fermi-level density of states: 0.543 states/eV per atom

AsWS3 after structural relaxation, computed with PBE-GGA.

CIF file:
```
data_AsWS3
_cell_length_a 4.692
_cell_length_b 4.692
_cell_length_c 4.692
_cell_angle_alpha 90.00
_cell_angle_beta 90.00
_cell_angle_gamma 90.00
_symmetry_space_group_name_H-M 'P 1'
_symmetry_Int_Tables_number 1
loop_
_symmetry_equiv_pos_as_xyz
'x,y,z'
loop_
_atom_site_label
_atom_site_fract_x
_atom_site_fract_y
_atom_site_fract_z
_atom_site_occupancy
S1 0.500 0.000 0.000 1
S2 0.000 0.000 0.500 1
W1 0.000 0.000 0.000 1
S3 0.000 0.500 0.000 1
As1 0.500 0.500 0.500 1
```

ΔE_f (raw): 0.40 eV per atom
Fermi-level density of states: 0.737 states/eV per atom

AsW2S after structural relaxation, computed with PBE-GGA.

CIF file:
```
data_AsW2S
_cell_length_a 4.422
_cell_length_b 4.422
_cell_length_c 8.132
_cell_angle_alpha 74.22
_cell_angle_beta 74.22
_cell_angle_gamma 90.00
_symmetry_space_group_name_H-M 'P 1'
_symmetry_Int_Tables_number 1
loop_
_symmetry_equiv_pos_as_xyz
'x,y,z'
loop_
_atom_site_label
_atom_site_fract_x
_atom_site_fract_y
_atom_site_fract_z
_atom_site_occupancy
W1 0.578 0.125 0.250 1
S1 0.250 0.750 0.500 1
W2 0.875 0.828 0.750 1
W3 0.172 0.625 0.250 1
As1 0.000 0.000 0.000 1
S2 0.500 0.500 0.000 1
W4 0.375 0.422 0.750 1
As2 0.750 0.250 0.500 1
```

ΔE_f (raw): 0.48 eV per atom
Fermi-level density of states: 0.799 states/eV per atom

As2W2S after structural relaxation, computed with PBE-GGA.

CIF file:
```
data_As2W2S
_cell_length_a 7.368
_cell_length_b 7.368
_cell_length_c 3.069
_cell_angle_alpha 90.00
_cell_angle_beta 90.00
_cell_angle_gamma 90.00
_symmetry_space_group_name_H-M 'P 1'
_symmetry_Int_Tables_number 1
loop_
_symmetry_equiv_pos_as_xyz
'x,y,z'
loop_
_atom_site_label
_atom_site_fract_x
_atom_site_fract_y
_atom_site_fract_z
_atom_site_occupancy
W1 0.151 0.651 0.500 1
As1 0.640 0.140 0.000 1
W2 0.849 0.349 0.500 1
W3 0.651 0.849 0.500 1
S1 0.500 0.500 0.000 1
W4 0.349 0.151 0.500 1
As2 0.860 0.640 0.000 1
As3 0.140 0.360 0.000 1
S2 0.000 0.000 0.000 1
As4 0.360 0.860 0.000 1
```

ΔE_f (raw): 0.69 eV per atom
Fermi-level density of states: 0.909 states/eV per atom

AsW2S after structural relaxation, computed with PBE-GGA.

CIF file:
```
data_AsW2S
_cell_length_a 4.360
_cell_length_b 4.360
_cell_length_c 4.360
_cell_angle_alpha 60.00
_cell_angle_beta 60.00
_cell_angle_gamma 60.00
_symmetry_space_group_name_H-M 'P 1'
_symmetry_Int_Tables_number 1
loop_
_symmetry_equiv_pos_as_xyz
'x,y,z'
loop_
_atom_site_label
_atom_site_fract_x
_atom_site_fract_y
_atom_site_fract_z
_atom_site_occupancy
W1 0.750 0.750 0.750 1
S1 0.000 0.000 0.000 1
W2 0.250 0.250 0.250 1
As1 0.500 0.500 0.500 1
```

ΔE_f (raw): 0.29 eV per atom
Fermi-level density of states: 1.104 states/eV per atom

As2W2S after structural relaxation, computed with PBE-GGA.

CIF file:
```
data_As2W2S
_cell_length_a 4.456
_cell_length_b 4.456
_cell_length_c 5.615
_cell_angle_alpha 66.62
_cell_angle_beta 66.62
_cell_angle_gamma 90.00
_symmetry_space_group_name_H-M 'P 1'
_symmetry_Int_Tables_number 1
loop_
_symmetry_equiv_pos_as_xyz
'x,y,z'
loop_
_atom_site_label
_atom_site_fract_x
_atom_site_fract_y
_atom_site_fract_z
_atom_site_occupancy
As1 0.629 0.629 0.742 1
W1 0.250 0.750 0.500 1
W2 0.750 0.250 0.500 1
S1 0.000 0.000 0.000 1
As2 0.371 0.371 0.258 1
```

ΔE_f (raw): 0.59 eV per atom
Fermi-level density of states: 1.055 states/eV per atom